SrMg2Pb after structural relaxation, computed with PBEsol.

As for the density of states at the Fermi level: 2.29 states/eV per cell. As for the formation energy: -0.09 eV/atom. The total energy comes out at -2.41 eV per atom. The space-group type is C2/m (12).

Unit cell a=3.4194 b=5.8051 c=6.7381 alpha=114.86 beta=103.65 gamma=92.36
With the nearest neighbours (Å) after each atom.
Element x y z (fractional)
Mg: 0.0000 0.0000 0.5000  6 Mg 3.31-3.43, 2 Pb 3.40, 2 Sr 3.40
Mg: 0.5000 0.5000 0.5000  6 Mg 3.31-3.43, 2 Sr 3.40, 2 Pb 3.40
Sr: 0.5000 0.0000 0.0000  4 Pb 3.31-3.43, 4 Mg 3.40, 2 Sr 3.42
Pb: 0.0000 0.5000 0.0000  4 Sr 3.31-3.43, 4 Mg 3.40, 2 Pb 3.42